(1)
## TlBi2S (PBE-GGA)

Data for an optimized crystal structure of TlBi2S.

Cell lengths 11.308, 11.308, 11.308 Å; angles 155.40, 155.40, 35.07 degrees
Positions (direct):
Tl (0.000, 0.000, 0.000)
Tl (0.750, 0.250, 0.500)
Bi (0.177, 0.625, 0.052)
Bi (0.375, 0.427, 0.552)
Bi (0.573, 0.125, 0.948)
Bi (0.875, 0.823, 0.448)
S (0.250, 0.750, 0.500)
S (0.500, 0.500, 0.000)

Energy above the most stable polymorph in this dataset ... 0 meV/atom
SG ... No. 122
Raw formation energy ... 0.044 eV per atom
Size of the total moment ... 0.00 μB/f.u.
Total energy ... -3.52 eV per atom


(2)
## TlBi3S (PBE-GGA)

Data for an optimized crystal structure of TlBi3S.

Cell lengths 5.501, 5.501, 5.501 Å; angles 90.00, 90.00, 90.00 degrees
Positions (direct):
Tl (0.000, 0.000, 0.000)
Bi (0.000, 0.500, 0.500)
Bi (0.500, 0.000, 0.500)
Bi (0.500, 0.500, 0.000)
S (0.500, 0.500, 0.500)

Energy above the most stable polymorph in this dataset ... 0 meV/atom
SG ... No. 221
Raw formation energy ... 0.293 eV per atom
Size of the total moment ... 0.00 μB/f.u.
Total energy ... -3.33 eV per atom


(3)
## TlBi2S6 (PBE-GGA)

Data for an optimized crystal structure of TlBi2S6.

Cell lengths 7.685, 7.706, 11.363 Å; angles 90.00, 124.91, 90.00 degrees
Positions (direct):
Tl (0.000, 0.000, 0.000)
Tl (0.000, 0.500, 0.500)
Bi (0.305, 0.027, 0.753)
Bi (0.305, 0.473, 0.253)
Bi (0.695, 0.527, 0.747)
Bi (0.695, 0.973, 0.247)
S (0.025, 0.212, 0.338)
S (0.025, 0.288, 0.838)
S (0.199, 0.721, 0.379)
S (0.199, 0.779, 0.879)
S (0.419, 0.126, 0.262)
S (0.419, 0.374, 0.762)
S (0.581, 0.626, 0.238)
S (0.581, 0.874, 0.738)
S (0.801, 0.221, 0.121)
S (0.801, 0.279, 0.621)
S (0.975, 0.712, 0.162)
S (0.975, 0.788, 0.662)

SG ... No. 14
Raw formation energy ... -0.017 eV per atom
Size of the total moment ... 0.00 μB/f.u.
Total energy ... -3.89 eV per atom


(4)
## Tl5BiS4 (PBE-GGA)

Data for an optimized crystal structure of Tl5BiS4.

Cell lengths 9.486, 9.486, 8.454 Å; angles 108.60, 108.60, 25.36 degrees
Positions (direct):
Tl (0.000, 0.000, 0.000)
Tl (0.313, 0.313, 0.191)
Tl (0.342, 0.342, 0.696)
Tl (0.658, 0.658, 0.304)
Tl (0.687, 0.687, 0.809)
Bi (0.000, 0.000, 0.500)
S (0.159, 0.159, 0.544)
S (0.476, 0.476, 0.257)
S (0.524, 0.524, 0.743)
S (0.841, 0.841, 0.456)

SG ... No. 12
Raw formation energy ... -0.361 eV per atom
Size of the total moment ... 0.00 μB/f.u.
Total energy ... -3.58 eV per atom